An optimized crystal structure of NiH2F6. Source: Alexandria, functional PBE with a Hubbard U.

Cell lengths 5.9900, 5.9900, 5.7236 Å; angles 101.75, 101.75, 93.43 degrees
Closest atoms and distances in Å follow each position.
Sites, in units of the cell vectors:
Ni (0.0822, 0.9178, 0.7500)  6 F 2.02-2.06
Ni (0.9178, 0.0822, 0.2500)  6 F 2.02-2.06
H (0.0544, 0.4275, 0.7213)  1 F 1.04
H (0.4275, 0.0544, 0.2213)  1 F 1.04
H (0.5725, 0.9456, 0.7787)  1 F 1.04
H (0.9456, 0.5725, 0.2787)  1 F 1.04
F (0.0411, 0.2094, 0.6142)  1 H 1.32
F (0.0554, 0.5967, 0.8095)  1 H 1.04
F (0.2094, 0.0411, 0.1142)  1 H 1.32
F (0.3821, 0.4735, 0.4366)  1 F 1.43
F (0.4033, 0.9446, 0.6905)  1 H 1.04
F (0.4735, 0.3821, 0.9366)  1 F 1.43
F (0.5265, 0.6179, 0.0634)  1 F 1.43
F (0.5967, 0.0554, 0.3095)  1 H 1.04
F (0.6179, 0.5265, 0.5634)  1 F 1.43
F (0.7906, 0.9589, 0.8858)  1 H 1.32
F (0.9446, 0.4033, 0.1905)  1 H 1.04
F (0.9589, 0.7906, 0.3858)  1 H 1.32

Values from the calculation:
The calculation puts the final energy at -66.328 eV/cell. For the volume, the calculation gives 10.875 Å³ per atom.